No. 1
CaTmZnRu | PBE | relaxed

Structure (extended XYZ):
```
4
Lattice="0.000 3.460 3.460 3.460 0.000 3.460 3.460 3.460 0.000" Properties=species:S:1:pos:R:3 pbc="T T T"
Ca 0.000 0.000 0.000
Tm 3.460 3.460 3.460
Zn 5.190 5.190 5.190
Ru 1.730 1.730 1.730
```

Summary:
Magnetic moment (μB per formula unit): 0.000
E (eV/atom): -4.402
N(E_F) (states/eV/f.u.): 2.710
ΔH_f (0 K) (eV per atom): -0.147
Mass density (kg/m3): 7527

=====

No. 2
CaURu | PBE | relaxed

Structure (extended XYZ):
```
6
Lattice="1.985 -11.331 0.000 1.985 11.331 0.000 0.000 0.000 3.536" Properties=species:S:1:pos:R:3 pbc="T T T"
Ca 1.985 7.123 2.652
Ca 1.985 -7.123 0.884
U 1.985 1.419 0.884
U 1.985 -1.419 2.652
Ru 1.985 10.127 0.884
Ru 1.985 -10.127 2.652
```

Summary:
Magnetic moment (μB per formula unit): 1.518
E (eV/atom): -7.494
N(E_F) (states/eV/f.u.): 5.755
ΔH_f (0 K) (eV per atom): 0.028
Mass density (kg/m3): 7917

=====

No. 3
CaURu4 | PBE | relaxed

Structure (extended XYZ):
```
6
Lattice="0.000 3.753 3.753 3.753 0.000 3.753 3.753 3.753 0.000" Properties=species:S:1:pos:R:3 pbc="T T T"
Ca 0.000 0.000 0.000
U 1.877 1.877 1.877
Ru 4.692 2.814 2.814
Ru 2.814 4.692 2.814
Ru 2.814 2.814 4.692
Ru 4.692 4.692 4.692
```

Summary:
Magnetic moment (μB per formula unit): 1.162
E (eV/atom): -8.385
N(E_F) (states/eV/f.u.): 8.840
ΔH_f (0 K) (eV per atom): 0.014
Mass density (kg/m3): 10716

=====

No. 4
Ca2VRu2 | PBE | relaxed

Structure (extended XYZ):
```
10
Lattice="6.375 0.000 0.000 0.000 6.375 0.000 0.000 0.000 4.941" Properties=species:S:1:pos:R:3 pbc="T T T"
Ca 1.127 2.061 0.000
Ca 2.061 5.249 0.000
Ca 4.314 1.127 0.000
Ca 5.249 4.314 0.000
V 0.000 0.000 2.471
V 3.188 3.188 2.471
Ru 0.889 4.076 2.471
Ru 2.299 0.889 2.471
Ru 4.076 5.486 2.471
Ru 5.486 2.299 2.471
```

Summary:
Magnetic moment (μB per formula unit): 0.001
E (eV/atom): -6.182
N(E_F) (states/eV/f.u.): 5.335
ΔH_f (0 K) (eV per atom): 0.153
Mass density (kg/m3): 5511

=====

No. 5
CaRu2W | PBE | relaxed

Structure (extended XYZ):
```
4
Lattice="2.779 0.000 0.000 0.000 2.779 0.000 0.000 0.000 8.924" Properties=species:S:1:pos:R:3 pbc="T T T"
Ca 0.000 0.000 0.000
Ru 0.000 0.000 4.116
Ru 1.390 1.390 2.439
W 1.390 1.390 6.251
```

Summary:
Magnetic moment (μB per formula unit): 0.000
E (eV/atom): -7.887
N(E_F) (states/eV/f.u.): 4.362
ΔH_f (0 K) (eV per atom): 0.490
Energy relative to the lowest polymorph listed for this composition (eV per atom): 0.392
Mass density (kg/m3): 10263

=====

No. 6
CaRu2W | PBE | relaxed

Structure (extended XYZ):
```
8
Lattice="-3.615 3.615 3.013 3.615 -3.615 3.013 3.615 3.615 -3.013" Properties=species:S:1:pos:R:3 pbc="T T T"
Ca 0.000 0.000 0.000
Ca 0.000 3.615 1.507
Ru 1.807 -1.421 2.260
Ru 2.194 1.807 0.753
Ru 1.807 5.035 -0.753
Ru 1.421 1.807 3.766
W 3.615 0.000 1.507
W 0.000 0.000 3.013
```

Summary:
Magnetic moment (μB per formula unit): 0.000
E (eV/atom): -7.787
N(E_F) (states/eV/f.u.): 1.861
ΔH_f (0 K) (eV per atom): 0.590
Energy relative to the lowest polymorph listed for this composition (eV per atom): 0.492
Mass density (kg/m3): 8985

=====

No. 7
CaRuW | PBE | relaxed

Structure (extended XYZ):
```
3
Lattice="0.000 3.144 3.144 3.144 0.000 3.144 3.144 3.144 0.000" Properties=species:S:1:pos:R:3 pbc="T T T"
Ca 0.000 0.000 0.000
Ru 1.572 1.572 1.572
W 3.144 3.144 3.144
```

Summary:
Magnetic moment (μB per formula unit): 0.000
E (eV/atom): -7.240
N(E_F) (states/eV/f.u.): 4.065
ΔH_f (0 K) (eV per atom): 0.836
Energy relative to the lowest polymorph listed for this composition (eV per atom): 0.398
Mass density (kg/m3): 8686

=====

No. 8
CaRu2W | PBE | relaxed

Structure (extended XYZ):
```
4
Lattice="-1.918 1.918 4.578 1.918 -1.918 4.578 1.918 1.918 -4.578" Properties=species:S:1:pos:R:3 pbc="T T T"
Ca 0.000 0.000 0.000
Ru 1.918 0.000 2.289
Ru 0.000 0.000 4.578
W 0.000 1.918 2.289
```

Summary:
Magnetic moment (μB per formula unit): 0.003
E (eV/atom): -7.721
N(E_F) (states/eV/f.u.): 5.183
ΔH_f (0 K) (eV per atom): 0.655
Energy relative to the lowest polymorph listed for this composition (eV per atom): 0.558
Mass density (kg/m3): 10497

=====

No. 9
CaRu2W | PBE | relaxed

Structure (extended XYZ):
```
4
Lattice="2.888 0.000 0.000 0.000 4.093 0.000 0.000 0.000 6.399" Properties=species:S:1:pos:R:3 pbc="T T T"
Ca 0.000 0.000 0.000
Ru 0.000 0.000 3.214
Ru 1.444 2.047 1.687
W 1.444 2.047 4.028
```

Summary:
Magnetic moment (μB per formula unit): 0.000
E (eV/atom): -7.867
N(E_F) (states/eV/f.u.): 4.059
ΔH_f (0 K) (eV per atom): 0.510
Energy relative to the lowest polymorph listed for this composition (eV per atom): 0.412
Mass density (kg/m3): 9351

=====

No. 10
CaRu2W | PBE | relaxed

Structure (extended XYZ):
```
4
Lattice="3.301 0.000 0.000 0.000 3.301 0.000 0.000 0.000 6.981" Properties=species:S:1:pos:R:3 pbc="T T T"
Ca 0.000 0.000 0.000
Ru 0.000 0.000 3.484
Ru 1.650 1.650 2.018
W 1.650 1.650 4.534
```

Summary:
Magnetic moment (μB per formula unit): 0.006
E (eV/atom): -7.819
N(E_F) (states/eV/f.u.): 4.820
ΔH_f (0 K) (eV per atom): 0.558
Energy relative to the lowest polymorph listed for this composition (eV per atom): 0.460
Mass density (kg/m3): 9302

=====

No. 11
CaRu2W | PBE | relaxed

Structure (extended XYZ):
```
4
Lattice="4.596 0.000 0.000 0.000 4.596 0.000 0.000 0.000 3.116" Properties=species:S:1:pos:R:3 pbc="T T T"
Ca 0.000 0.000 0.000
Ru 0.000 2.298 1.558
Ru 2.298 0.000 1.558
W 2.298 2.298 0.000
```

Summary:
Magnetic moment (μB per formula unit): 0.000
E (eV/atom): -8.071
N(E_F) (states/eV/f.u.): 1.373
ΔH_f (0 K) (eV per atom): 0.305
Energy relative to the lowest polymorph listed for this composition (eV per atom): 0.208
Mass density (kg/m3): 10749

=====

No. 12
CaRu2W | PBE | relaxed

Structure (extended XYZ):
```
4
Lattice="1.462 0.844 9.149 -1.462 0.844 9.149 0.000 -1.688 9.149" Properties=species:S:1:pos:R:3 pbc="T T T"
Ca 0.000 0.000 0.000
Ru 0.000 0.000 6.649
Ru 0.000 0.000 20.799
W 0.000 0.000 13.724
```

Summary:
Magnetic moment (μB per formula unit): 0.000
E (eV/atom): -7.956
N(E_F) (states/eV/f.u.): 2.932
ΔH_f (0 K) (eV per atom): 0.420
Energy relative to the lowest polymorph listed for this composition (eV per atom): 0.323
Mass density (kg/m3): 10440

=====

What did the eleventh record say?
CaRu2W | PBE | relaxed

Structure (extended XYZ):
```
4
Lattice="4.596 0.000 0.000 0.000 4.596 0.000 0.000 0.000 3.116" Properties=species:S:1:pos:R:3 pbc="T T T"
Ca 0.000 0.000 0.000
Ru 0.000 2.298 1.558
Ru 2.298 0.000 1.558
W 2.298 2.298 0.000
```

Summary:
Magnetic moment (μB per formula unit): 0.000
E (eV/atom): -8.071
N(E_F) (states/eV/f.u.): 1.373
ΔH_f (0 K) (eV per atom): 0.305
Energy relative to the lowest polymorph listed for this composition (eV per atom): 0.208
Mass density (kg/m3): 10749